Compound: Ba2FeMoO6
Source: Alexandria
Functional: GGA+U
Structure: relaxed

Unit cell a=5.802 b=5.802 c=10.052 alpha=106.97 beta=106.97 gamma=59.89
Atoms (fractional coordinates):
Ba 0.122 0.628 0.875
Ba 0.372 0.878 0.625
Ba 0.628 0.122 0.375
Ba 0.878 0.372 0.125
Fe 0.243 0.757 0.250
Fe 0.757 0.243 0.750
Mo 0.000 0.500 0.500
Mo 0.500 0.000 0.000
O 0.121 0.132 0.877
O 0.132 0.121 0.377
O 0.133 0.618 0.374
O 0.354 0.386 0.621
O 0.382 0.867 0.126
O 0.386 0.354 0.121
O 0.614 0.646 0.879
O 0.618 0.133 0.874
O 0.646 0.614 0.379
O 0.867 0.382 0.626
O 0.868 0.879 0.623
O 0.879 0.868 0.123

Results
**ρ**: 6.30 Mg/m³
**Crystal system**: monoclinic
**Energy above the most stable polymorph in this dataset**: 4 meV per atom